Entry 1:
The following is a DFT calculation (PBE) of YCu2Mo after structural relaxation.

a b c (Å): 3.115 3.115 6.991
angles (deg): 90.00 90.00 90.00
Positions (direct):
Cu (0.500, 0.500, 0.231)
Cu (0.000, 0.000, 0.057)
Y (0.500, 0.500, 0.765)
Mo (0.000, 0.000, 0.448)

Summary:
Uncorrected energy: -6.113 eV/atom
Formation enthalpy at 0 K: 258.5 meV per atom
Total magnetization: 0.0 μB/f.u.

---

Entry 2:
The following is a DFT calculation (PBE) of YCuMo2 after structural relaxation.

a b c (Å): 2.802 2.802 8.826
angles (deg): 90.00 90.00 89.86
Positions (direct):
Cu (0.500, 0.500, 0.750)
Y (0.500, 0.500, 0.250)
Mo (0.000, 0.000, 0.538)
Mo (0.000, 0.000, 0.962)

Summary:
Uncorrected energy: -7.594 eV/atom
Formation enthalpy at 0 K: 461.8 meV per atom
Total magnetization: 0.0 μB/f.u.

---

Entry 3:
The following is a DFT calculation (PBE) of YCuMo2 after structural relaxation.

a b c (Å): 4.625 4.625 4.625
angles (deg): 60.00 60.00 60.00
Positions (direct):
Mo (0.000, 0.000, 0.000)
Y (0.750, 0.750, 0.750)
Mo (0.250, 0.250, 0.250)
Cu (0.500, 0.500, 0.500)

Summary:
Uncorrected energy: -7.761 eV/atom
Formation enthalpy at 0 K: 294.6 meV per atom
Total magnetization: 0.0 μB/f.u.

---

Entry 4:
The following is a DFT calculation (PBE) of YCu2Mo after structural relaxation.

a b c (Å): 3.287 3.287 6.334
angles (deg): 90.00 90.00 90.00
Positions (direct):
Cu (0.000, 0.000, 0.454)
Mo (0.500, 0.500, 0.250)
Y (0.500, 0.500, 0.750)
Cu (0.000, 0.000, 0.046)

Summary:
Uncorrected energy: -6.149 eV/atom
Formation enthalpy at 0 K: 222.5 meV per atom
Total magnetization: 0.0 μB/f.u.

---

Entry 5:
The following is a DFT calculation (PBE) of YCuMo2 after structural relaxation.

a b c (Å): 3.429 4.283 4.829
angles (deg): 90.00 90.00 90.00
Positions (direct):
Mo (0.000, 0.000, 0.000)
Y (0.500, 0.000, 0.500)
Mo (0.500, 0.500, 0.000)
Cu (0.000, 0.500, 0.500)

Summary:
Uncorrected energy: -7.729 eV/atom
Formation enthalpy at 0 K: 326.8 meV per atom
Total magnetization: 0.0 μB/f.u.

---

Entry 6:
The following is a DFT calculation (PBE) of YCuMo2 after structural relaxation.

a b c (Å): 4.602 4.602 4.602
angles (deg): 60.00 60.00 60.00
Positions (direct):
Y (0.500, 0.500, 0.500)
Mo (0.250, 0.250, 0.250)
Mo (0.750, 0.750, 0.750)
Cu (0.000, 0.000, 0.000)

Summary:
Uncorrected energy: -7.270 eV/atom
Formation enthalpy at 0 K: 785.6 meV per atom
Total magnetization: 0.0 μB/f.u.

---

Entry 7:
The following is a DFT calculation (PBE) of YCuMo2 after structural relaxation.

a b c (Å): 2.792 2.792 8.899
angles (deg): 90.00 90.00 90.00
Positions (direct):
Cu (0.500, 0.500, 0.773)
Mo (0.500, 0.500, 0.232)
Y (0.000, 0.000, 0.516)
Mo (0.000, 0.000, 0.979)

Summary:
Uncorrected energy: -7.633 eV/atom
Formation enthalpy at 0 K: 422.3 meV per atom
Total magnetization: 0.0 μB/f.u.

---

Entry 8:
The following is a DFT calculation (PBE) of YCuMo2 after structural relaxation.

a b c (Å): 10.069 10.069 10.069
angles (deg): 16.30 16.30 16.30
Last column: magnetic moment on the atom in μB.
Positions (direct):
Cu (0.750, 0.750, 0.750)  0.00
Y (0.250, 0.250, 0.250)  0.14
Mo (0.010, 0.010, 0.010)  0.02
Mo (0.490, 0.490, 0.490)  0.02

Summary:
Uncorrected energy: -7.336 eV/atom
Formation enthalpy at 0 K: 719.9 meV per atom
Total magnetization: 0.2 μB/f.u.

---

no.,distance to the lowest polymorph of the same formula (meV/atom)
1,36
2,308
3,140
4,0
5,173
6,631
7,268
8,566